DFT (GGA-PBE) results for a relaxed SmTiC crystal.

The calculation puts the total magnetization at 0.000 μB/cell. The formation energy from the elements comes out at 0.266 eV/atom. Its density of states at the Fermi level is 11.6 states/eV per cell.

a = 3.3620 Å, b = 3.3620 Å, c = 27.8493 Å
α = 90.00°, β = 90.00°, γ = 120.00°
Positions (direct):
Sm 0.3333 0.6667 0.2267
Sm 0.3333 0.6667 0.3372
Sm 0.6667 0.3333 0.6628
Sm 0.6667 0.3333 0.7733
Ti 0.3333 0.6667 0.8709
Ti 0.3333 0.6667 0.9560
Ti 0.6667 0.3333 0.0440
Ti 0.6667 0.3333 0.1291
C 0.3333 0.6667 0.0872
C 0.3333 0.6667 0.7113
C 0.6667 0.3333 0.2887
C 0.6667 0.3333 0.9128

---

DFT (GGA-PBE) results for a relaxed SmTi2C crystal.

The calculation puts the total magnetization at 0.000 μB/cell. The formation energy from the elements comes out at -0.228 eV/atom. Its density of states at the Fermi level is 4.5 states/eV per cell.

a = 8.7339 Å, b = 8.7339 Å, c = 8.7339 Å
α = 20.67°, β = 20.67°, γ = 20.67°
Positions (direct):
Sm 0.0000 0.0000 0.0000
Ti 0.1232 0.1232 0.1232
Ti 0.8768 0.8768 0.8768
C 0.5000 0.5000 0.5000

---

DFT (GGA-PBE) results for a relaxed SmTiC2 crystal.

The calculation puts the total magnetization at 0.000 μB/cell. The formation energy from the elements comes out at -0.127 eV/atom. Its density of states at the Fermi level is 2.4 states/eV per cell.

a = 5.9297 Å, b = 5.9297 Å, c = 5.9297 Å
α = 32.84°, β = 32.84°, γ = 32.84°
Positions (direct):
Sm 0.0000 0.0000 0.0000
Ti 0.5000 0.5000 0.5000
C 0.2342 0.2342 0.2342
C 0.7658 0.7658 0.7658

---

DFT (GGA-PBE) results for a relaxed SmTlC crystal.

The calculation puts the total magnetization at 0.000 μB/cell. The formation energy from the elements comes out at -0.239 eV/atom. Its density of states at the Fermi level is 2.1 states/eV per cell.

a = 4.0110 Å, b = 4.0110 Å, c = 10.4342 Å
α = 92.92°, β = 92.92°, γ = 55.73°
Positions (direct):
Sm 0.1414 0.1414 0.1448
Sm 0.8586 0.8586 0.8552
Tl 0.1656 0.1656 0.6090
Tl 0.8344 0.8344 0.3910
C 0.4266 0.4266 0.0373
C 0.5734 0.5734 0.9627

---

DFT (GGA-PBE) results for a relaxed Sm7Tl3C2 crystal.

The calculation puts the total magnetization at 0.000 μB/cell. The formation energy from the elements comes out at -0.337 eV/atom. Its density of states at the Fermi level is 6.5 states/eV per cell.

a = 12.5864 Å, b = 12.5864 Å, c = 5.0405 Å
α = 90.00°, β = 90.00°, γ = 156.70°
Positions (direct):
Sm 0.0000 0.0000 0.0000
Sm 0.0988 0.9012 0.5000
Sm 0.2012 0.7988 0.0000
Sm 0.3985 0.6015 0.0000
Sm 0.6015 0.3985 0.0000
Sm 0.7988 0.2012 0.0000
Sm 0.9012 0.0988 0.5000
Tl 0.3025 0.6975 0.5000
Tl 0.5000 0.5000 0.5000
Tl 0.6975 0.3025 0.5000
C 0.1047 0.8953 0.0000
C 0.8953 0.1047 0.0000

---

DFT (GGA-PBE) results for a relaxed Sm2TlC crystal.

The calculation puts the total magnetization at 0.161 μB/cell. The formation energy from the elements comes out at -0.268 eV/atom. Its density of states at the Fermi level is 3.8 states/eV per cell.

a = 8.6677 Å, b = 8.6677 Å, c = 8.6677 Å
α = 24.56°, β = 24.56°, γ = 24.56°
Positions (direct):
Sm 0.2223 0.2223 0.2223
Sm 0.7777 0.7777 0.7777
Tl 0.0000 0.0000 0.0000
C 0.5000 0.5000 0.5000

---

DFT (GGA-PBE) results for a relaxed Sm4TlC crystal.

The calculation puts the total magnetization at 0.002 μB/cell. The formation energy from the elements comes out at -0.152 eV/atom. Its density of states at the Fermi level is 13.2 states/eV per cell.

a = 8.2989 Å, b = 8.2989 Å, c = 7.0906 Å
α = 105.27°, β = 105.27°, γ = 44.23°
Positions (direct):
Sm 0.0118 0.1897 0.4498
Sm 0.1897 0.0118 0.9498
Sm 0.2385 0.3803 0.8400
Sm 0.3803 0.2385 0.3400
Sm 0.6197 0.7615 0.6600
Sm 0.7615 0.6197 0.1600
Sm 0.8103 0.9882 0.0502
Sm 0.9882 0.8103 0.5502
Tl 0.4064 0.5936 0.2500
Tl 0.5936 0.4064 0.7500
C 0.0000 0.5000 0.5000
C 0.5000 0.0000 0.0000

---

DFT (GGA-PBE) results for a relaxed Sm12Tl6C crystal.

The calculation puts the total magnetization at 0.000 μB/cell. The formation energy from the elements comes out at -0.210 eV/atom. Its density of states at the Fermi level is 18.7 states/eV per cell.

a = 8.4238 Å, b = 8.4238 Å, c = 8.4238 Å
α = 94.90°, β = 94.90°, γ = 94.90°
Positions (direct):
Sm 0.0299 0.7097 0.9252
Sm 0.0748 0.9701 0.2903
Sm 0.1984 0.5365 0.4184
Sm 0.2903 0.0748 0.9701
Sm 0.4184 0.1984 0.5365
Sm 0.4635 0.5816 0.8016
Sm 0.5365 0.4184 0.1984
Sm 0.5816 0.8016 0.4635
Sm 0.7097 0.9252 0.0299
Sm 0.8016 0.4635 0.5816
Sm 0.9252 0.0299 0.7097
Sm 0.9701 0.2903 0.0748
Tl 0.1444 0.3548 0.7428
Tl 0.2572 0.8556 0.6452
Tl 0.3548 0.7428 0.1444
Tl 0.6452 0.2572 0.8556
Tl 0.7428 0.1444 0.3548
Tl 0.8556 0.6452 0.2572
C 0.0000 0.0000 0.0000

---

DFT (GGA-PBE) results for a relaxed Sm7Tl2C2 crystal.

The calculation puts the total magnetization at 0.000 μB/cell. The formation energy from the elements comes out at -0.087 eV/atom. Its density of states at the Fermi level is 9.0 states/eV per cell.

a = 9.9120 Å, b = 9.9120 Å, c = 9.9120 Å
α = 159.29°, β = 62.34°, γ = 121.92°
Positions (direct):
Sm 0.0000 0.0000 0.0000
Sm 0.2590 0.4072 0.8518
Sm 0.3002 0.6055 0.6946
Sm 0.5554 0.4072 0.1482
Sm 0.6245 0.2800 0.3445
Sm 0.9109 0.6055 0.3054
Sm 0.9355 0.2800 0.6555
Tl 0.2801 0.7801 0.5000
Tl 0.6409 0.6409 0.0000
C 0.1093 0.8569 0.2525
C 0.6044 0.8569 0.7475

---

DFT (GGA-PBE) results for a relaxed Sm4TlC2 crystal.

The calculation puts the total magnetization at 0.000 μB/cell. The formation energy from the elements comes out at -0.228 eV/atom. Its density of states at the Fermi level is 4.2 states/eV per cell.

a = 15.0704 Å, b = 15.0704 Å, c = 15.0704 Å
α = 14.02°, β = 14.02°, γ = 14.02°
Positions (direct):
Sm 0.1231 0.1231 0.1231
Sm 0.2725 0.2725 0.2725
Sm 0.7275 0.7275 0.7275
Sm 0.8769 0.8769 0.8769
Tl 0.0000 0.0000 0.0000
C 0.4273 0.4273 0.4273
C 0.5727 0.5727 0.5727

---

DFT (GGA-PBE) results for a relaxed Sm4Tl2C crystal.

The calculation puts the total magnetization at 0.727 μB/cell. The formation energy from the elements comes out at -0.161 eV/atom. Its density of states at the Fermi level is 7.1 states/eV per cell.

a = 6.4288 Å, b = 3.6809 Å, c = 8.4593 Å
α = 90.00°, β = 103.66°, γ = 90.00°
Positions (direct):
Sm 0.1343 0.0000 0.3137
Sm 0.2483 0.5000 0.9817
Sm 0.7517 0.5000 0.0183
Sm 0.8657 0.0000 0.6863
Tl 0.3959 0.5000 0.6524
Tl 0.6041 0.5000 0.3476
C 0.0000 0.0000 0.0000

---

DFT (GGA-PBE) results for a relaxed SmTlC crystal.

The calculation puts the total magnetization at 0.000 μB/cell. The formation energy from the elements comes out at 0.457 eV/atom. Its density of states at the Fermi level is 2.6 states/eV per cell.

a = 11.8368 Å, b = 11.8368 Å, c = 11.8368 Å
α = 162.53°, β = 162.53°, γ = 24.81°
Positions (direct):
Sm 0.0934 0.0934 0.0000
Sm 0.9066 0.9066 0.0000
Tl 0.2928 0.2928 0.0000
Tl 0.7072 0.7072 0.0000
C 0.3923 0.3923 0.0000
C 0.6077 0.6077 0.0000

---

Question: Which of these has the highest formation energy from the elements?
Answer: number 12

---

Question: Look up the formation energy from the elements of the twelfth one.
Answer: 0.457 eV/atom